# 1
# MoSe2S

An optimized crystal structure of MoSe2S (PBE, OQMD via LeMat-Bulk).

## Properties
V: 21.42 Å³ per atom
Uncorrected energy: -5.774 eV per atom
Total magnetization: 0.03 μB/f.u.

abc: 5.6281 3.2531 9.7405
angles: 90.00 106.11 90.00
Space group P2_1/m (No. 11)
Unique sites:
Mo: 0.0657 0.2500 0.3363
Se: 0.2439 0.2500 0.8261
Se: 0.2586 0.7500 0.1935
S: 0.2457 0.7500 0.5252

=====

# 2
# MgPIr

An optimized crystal structure of MgPIr (PBE, OQMD via LeMat-Bulk).

## Properties
V: 15.71 Å³ per atom
Uncorrected energy: -5.885 eV per atom
Total magnetization: 0.00 μB/f.u.

abc: 5.3615 5.2143 7.5386
angles: 90.00 116.52 90.00
Space group P2_1/c (No. 14)
Unique sites:
Mg: 0.2115 0.1090 0.3849
P: 0.2031 0.6129 0.5357
Ir: 0.3743 0.6172 0.3050

=====

# 3
# CsEr

An optimized crystal structure of CsEr (PBE, OQMD via LeMat-Bulk).

## Properties
V: 56.17 Å³ per atom
Uncorrected energy: -1.335 eV per atom
Total magnetization: 0.00 μB/f.u.

abc: 7.6596 7.6596 7.6596
angles: 90.00 90.00 90.00
Space group Fm-3m (No. 225)
Unique sites:
Cs: 0.0000 0.0000 0.0000
Er: 0.0000 0.0000 0.5000

=====

# 4
# KHg3PtSe4

An optimized crystal structure of KHg3PtSe4 (PBE, OQMD via LeMat-Bulk).

## Properties
V: 35.30 Å³ per atom
Uncorrected energy: -2.538 eV per atom
Total magnetization: 1.61 μB/f.u.

abc: 6.8236 6.8236 6.8236
angles: 90.00 90.00 90.00
Space group P-43m (No. 215)
Unique sites:
K: 0.0000 0.0000 0.0000
Hg: 0.0000 0.5000 0.5000
Pt: 0.5000 0.5000 0.5000
Se: 0.2864 0.2864 0.2864

=====

# 5
# TaNbIn2Pt2

An optimized crystal structure of TaNbIn2Pt2 (PBE, OQMD via LeMat-Bulk).

## Properties
V: 18.49 Å³ per atom
Uncorrected energy: -6.730 eV per atom
Total magnetization: 0.00 μB/f.u.

abc: 11.1862 3.0303 14.0939
angles: 90.00 111.78 90.00
Space group Pm (No. 6)
Unique sites:
Ta: 0.0000 0.0000 0.0000
Ta: 0.1228 0.5000 0.8743
Ta: 0.6236 0.5000 0.3735
Ta: 0.8752 0.5000 0.1242
Nb: 0.2504 0.0000 0.7508
Nb: 0.3756 0.5000 0.6253
Nb: 0.5020 0.0000 0.4996
Nb: 0.7529 0.0000 0.2510
In: 0.0026 0.5000 0.3582
In: 0.1273 0.0000 0.2332
In: 0.2518 0.5000 0.1077
In: 0.3759 0.0000 0.9827
In: 0.5012 0.5000 0.8580
In: 0.6262 0.0000 0.7328
In: 0.7514 0.5000 0.6079
In: 0.8764 0.0000 0.4828
Pt: 0.1142 0.5000 0.5810
Pt: 0.2395 0.0000 0.4563
Pt: 0.3642 0.5000 0.3303
Pt: 0.4899 0.0000 0.2059
Pt: 0.6149 0.5000 0.0812
Pt: 0.7390 0.0000 0.9571
Pt: 0.8636 0.5000 0.8320
Pt: 0.9884 0.0000 0.7061

=====

# 6
# Co3Mo

An optimized crystal structure of Co3Mo (PBE, OQMD via LeMat-Bulk).

## Properties
V: 11.50 Å³ per atom
Uncorrected energy: -8.091 eV per atom
Total magnetization: 0.94 μB/f.u.
Energy of formation: -49.6 meV/atom

abc: 5.1009 5.1009 4.0821
angles: 90.00 90.00 120.00
Space group P6_3/mmc (No. 194)
Unique sites:
Co: 0.1620 0.3240 0.2500
Mo: 0.3333 0.6667 0.7500

=====

# 7
# CuPt3Se6

An optimized crystal structure of CuPt3Se6 (PBE, OQMD via LeMat-Bulk).

## Properties
V: 21.65 Å³ per atom
Uncorrected energy: -4.473 eV per atom
Total magnetization: 0.00 μB/f.u.

abc: 9.0550 12.3874 3.8603
angles: 90.00 90.00 90.00
Space group Cmmm (No. 65)
Unique sites:
Cu: 0.0000 0.0000 0.0000
Pt: 0.0000 0.5000 0.0000
Pt: 0.2500 0.2500 0.5000
Se: 0.0000 0.1468 0.5000
Se: 0.2091 0.3769 0.0000

=====

# 8
# BeZnAsIr

An optimized crystal structure of BeZnAsIr (PBE, OQMD via LeMat-Bulk).

## Properties
V: 13.96 Å³ per atom
Uncorrected energy: -4.405 eV per atom
Total magnetization: 0.00 μB/f.u.

abc: 6.0677 6.0677 6.0677
angles: 90.00 90.00 90.00
Space group F-43m (No. 216)
Unique sites:
Be: 0.0000 0.0000 0.0000
Zn: 0.2500 0.2500 0.2500
As: 0.2500 0.2500 0.7500
Ir: 0.0000 0.0000 0.5000

=====

# 9
# PmHgPO

An optimized crystal structure of PmHgPO (PBE, OQMD via LeMat-Bulk).

## Properties
V: 22.94 Å³ per atom
Uncorrected energy: -5.136 eV per atom
Total magnetization: 0.00 μB/f.u.

abc: 4.3151 7.0400 6.0398
angles: 90.00 90.00 90.00
Space group Pmc2_1 (No. 26)
Unique sites:
Pm: 0.0000 0.2162 0.0000
Hg: 0.5000 0.3516 0.5109
P: 0.0000 0.1903 0.4998
O: 0.5000 0.3136 0.0010

=====

# 10
# Dy2YN3

An optimized crystal structure of Dy2YN3 (PBE, OQMD via LeMat-Bulk).

## Properties
V: 14.65 Å³ per atom
Uncorrected energy: -8.475 eV per atom
Total magnetization: 0.00 μB/f.u.

abc: 3.4594 3.4594 8.4806
angles: 90.00 90.00 120.00
Space group P-3m1 (No. 164)
Unique sites:
Dy: 0.3333 0.6667 0.3333
Y: 0.0000 0.0000 0.0000
N: 0.0000 0.0000 0.5000
N: 0.3333 0.6667 0.8331

=====

# 11
# CsTbTe4Au3

An optimized crystal structure of CsTbTe4Au3 (PBE, OQMD via LeMat-Bulk).

## Properties
V: 39.22 Å³ per atom
Uncorrected energy: -3.475 eV per atom
Total magnetization: 0.02 μB/f.u.

abc: 7.0671 7.0671 7.0671
angles: 90.00 90.00 90.00
Space group P-43m (No. 215)
Unique sites:
Cs: 0.0000 0.0000 0.0000
Tb: 0.5000 0.5000 0.5000
Te: 0.2707 0.2707 0.2707
Au: 0.0000 0.5000 0.5000

=====

# 12
# La2NdNi8Pt

An optimized crystal structure of La2NdNi8Pt (PBE, OQMD via LeMat-Bulk).

## Properties
V: 15.78 Å³ per atom
Uncorrected energy: -5.863 eV per atom
Total magnetization: 0.58 μB/f.u.
Energy of formation: -429.3 meV/atom

abc: 5.0720 5.0720 25.5042
angles: 90.00 90.00 120.00
Space group R-3m (No. 166, hexagonal axes)
Unique sites:
La: 0.0000 0.0000 0.1356
Nd: 0.0000 0.0000 0.0000
Ni: 0.0000 0.0000 0.3326
Ni: 0.0022 0.5011 0.9222
Pt: 0.0000 0.0000 0.5000

=====

# 13
# TaAlCdCu

An optimized crystal structure of TaAlCdCu (PBE, OQMD via LeMat-Bulk).

## Properties
V: 16.72 Å³ per atom
Uncorrected energy: -4.675 eV per atom
Total magnetization: 0.38 μB/f.u.

abc: 6.4435 6.4435 6.4435
angles: 90.00 90.00 90.00
Space group F-43m (No. 216)
Unique sites:
Ta: 0.0000 0.0000 0.0000
Al: 0.2500 0.2500 0.2500
Cd: 0.2500 0.2500 0.7500
Cu: 0.0000 0.0000 0.5000

=====

# 14
# NdGdTlCu2

An optimized crystal structure of NdGdTlCu2 (PBE, OQMD via LeMat-Bulk).

## Properties
V: 22.83 Å³ per atom
Uncorrected energy: -4.139 eV per atom
Total magnetization: 0.02 μB/f.u.

abc: 3.6745 4.3582 14.2541
angles: 90.00 90.00 90.00
Space group Amm2 (No. 38)
Unique sites:
Nd: 0.0000 0.0000 0.0000
Gd: 0.0000 0.0000 0.7321
Tl: 0.5000 0.0000 0.3647
Cu: 0.5000 0.0000 0.1658
Cu: 0.5000 0.0000 0.5729

=====

# 15
# LaMgAlNi

An optimized crystal structure of LaMgAlNi (PBE, OQMD via LeMat-Bulk).

## Properties
V: 19.94 Å³ per atom
Uncorrected energy: -4.160 eV per atom
Total magnetization: 0.00 μB/f.u.

abc: 6.8334 6.8334 6.8334
angles: 90.00 90.00 90.00
Space group F-43m (No. 216)
Unique sites:
La: 0.0000 0.0000 0.0000
Mg: 0.2500 0.2500 0.2500
Al: 0.0000 0.0000 0.5000
Ni: 0.2500 0.2500 0.7500

=====

# 16
# Fe2SnS3

An optimized crystal structure of Fe2SnS3 (PBE, OQMD via LeMat-Bulk).

## Properties
V: 16.82 Å³ per atom
Uncorrected energy: -5.727 eV per atom
Total magnetization: 3.26 μB/f.u.

abc: 3.4901 13.2417 8.7355
angles: 90.00 90.00 90.00
Space group Cmcm (No. 63)
Unique sites:
Fe: 0.0000 0.0000 0.0000
Fe: 0.0000 0.4723 0.2500
Sn: 0.0000 0.2358 0.7500
S: 0.0000 0.0669 0.2500
S: 0.0000 0.3732 0.0503

=====

# 17
# CsZrAgSe3

An optimized crystal structure of CsZrAgSe3 (PBE, OQMD via LeMat-Bulk).

## Properties
V: 29.27 Å³ per atom
Uncorrected energy: -4.875 eV per atom
Total magnetization: 0.00 μB/f.u.

abc: 16.0808 4.0505 10.7849
angles: 90.00 90.00 90.00
Space group Pnma (No. 62)
Unique sites:
Cs: 0.2353 0.2500 0.0443
Zr: 0.0147 0.2500 0.3303
Ag: 0.0147 0.7500 0.0944
Se: 0.0807 0.2500 0.5690
Se: 0.0911 0.7500 0.8579
Se: 0.1252 0.7500 0.2743

=====

# 18
# Ho2Sc2CI5

An optimized crystal structure of Ho2Sc2CI5 (PBE, OQMD via LeMat-Bulk).

## Properties
V: 32.55 Å³ per atom
Uncorrected energy: -4.959 eV per atom
Total magnetization: 0.37 μB/f.u.

abc: 20.3933 3.8652 8.4316
angles: 90.00 101.66 90.00
Space group C2/m (No. 12)
Unique sites:
Ho: 0.0000 0.0000 0.1910
Sc: 0.1119 0.5000 0.0549
C: 0.0000 0.5000 0.0000
I: 0.0000 0.5000 0.5000
I: 0.1538 0.0000 0.3179
I: 0.1542 0.0000 0.8327

=====

# 19
# BaIn2PdPt

An optimized crystal structure of BaIn2PdPt (PBE, OQMD via LeMat-Bulk).

## Properties
V: 25.30 Å³ per atom
Uncorrected energy: -4.345 eV per atom
Total magnetization: 0.00 μB/f.u.

abc: 4.8670 4.8670 10.6784
angles: 90.00 90.00 90.00
Space group P4/nmm (No. 129, origin choice 2)
Unique sites:
Ba: 0.2500 0.2500 0.2337
In: 0.2500 0.2500 0.8821
In: 0.2500 0.7500 0.5000
Pd: 0.2500 0.2500 0.6256
Pt: 0.2500 0.7500 0.0000

=====

# 20
# FePb3N3

An optimized crystal structure of FePb3N3 (PBE, OQMD via LeMat-Bulk).

## Properties
V: 18.89 Å³ per atom
Uncorrected energy: -5.804 eV per atom
Total magnetization: 1.86 μB/f.u.

abc: 7.5727 7.5727 5.3252
angles: 90.00 90.00 120.00
Space group P6_3/m (No. 176)
Unique sites:
Fe: 0.3333 0.6667 0.2500
Pb: 0.0917 0.7202 0.7500
N: 0.1099 0.6784 0.2500

=====

# 21
# Tm5Mg

An optimized crystal structure of Tm5Mg (PBE, OQMD via LeMat-Bulk).

## Properties
V: 32.79 Å³ per atom
Uncorrected energy: -3.551 eV per atom
Total magnetization: 0.04 μB/f.u.

abc: 6.3639 6.3639 5.6098
angles: 90.00 90.00 120.00
Space group P6/mmm (No. 191)
Unique sites:
Tm: 0.0000 0.5000 0.0000
Tm: 0.3333 0.6667 0.5000
Mg: 0.0000 0.0000 0.5000

=====

# 22
# SmTaBi

An optimized crystal structure of SmTaBi (PBE, OQMD via LeMat-Bulk).

## Properties
V: 28.50 Å³ per atom
Uncorrected energy: -6.319 eV per atom
Total magnetization: 0.47 μB/f.u.

abc: 6.9932 6.9932 6.9932
angles: 90.00 90.00 90.00
Space group F-43m (No. 216)
Unique sites:
Sm: 0.0000 0.0000 0.0000
Ta: 0.0000 0.0000 0.5000
Bi: 0.2500 0.2500 0.2500

=====

# 23
# KGdCoSe3

An optimized crystal structure of KGdCoSe3 (PBE, OQMD via LeMat-Bulk).

## Properties
V: 27.29 Å³ per atom
Uncorrected energy: -5.043 eV per atom
Total magnetization: 2.98 μB/f.u.

abc: 4.0668 14.8640 10.8343
angles: 90.00 90.00 90.00
Space group Cmcm (No. 63)
Unique sites:
K: 0.0000 0.2441 0.2500
Gd: 0.0000 0.5000 0.0000
Co: 0.0000 0.0334 0.7500
Se: 0.0000 0.1268 0.5705
Se: 0.0000 0.4366 0.7500